Record 1
Entry from Alexandria via LeMat-Bulk: crystalline BaCo2Au at its relaxed geometry (PBE).

The structure belongs to space group P4/mmm (No. 123); the cell edges are 4.437, 4.437 and 3.958 Å and the angles 90.00°, 90.00° and 90.00°. Symmetry generates all atoms from Ba at (0.000, 0.000, 0.000), Co at (0.000, 0.500, 0.500) and Au at (0.500, 0.500, 0.000).

The total magnetic moment comes out at 2.29 μB per formula unit. Its formation energy from the elements is 0.73 eV per atom. For the density of states at the Fermi level, the calculation gives 7.6 states/eV/cell. The calculation puts the volume at 77.9 Å³ per cell. As for the total energy: -4.127 eV/atom.

---

Record 2
Entry from Alexandria via LeMat-Bulk: crystalline BaCo3Au at its relaxed geometry (PBE).

The structure belongs to space group Pm-3m (No. 221); the cell edges are 4.884, 4.884 and 4.884 Å and the angles 90.00°, 90.00° and 90.00°. Symmetry generates all atoms from Ba at (0.000, 0.000, 0.000), Co at (0.000, 0.500, 0.500) and Au at (0.500, 0.500, 0.500).

The total magnetic moment comes out at 5.79 μB per formula unit. Its formation energy from the elements is 0.85 eV per atom. For the density of states at the Fermi level, the calculation gives 5.5 states/eV/cell. The calculation puts the volume at 116.5 Å³ per cell. As for the total energy: -4.457 eV/atom.

---

Record 3
Entry from Alexandria via LeMat-Bulk: crystalline BaCo2Au at its relaxed geometry (PBE).

The structure belongs to space group I4_1/amd (No. 141, origin choice 2); the cell edges are 4.689, 4.689 and 18.089 Å and the angles 90.00°, 90.00° and 90.00°. Symmetry generates all atoms from Ba at (0.000, 0.250, 0.375), Co at (0.000, 0.000, 0.000) and Au at (0.000, 0.250, 0.875).

The total magnetic moment comes out at 2.96 μB per formula unit. Its formation energy from the elements is 0.26 eV per atom. For the density of states at the Fermi level, the calculation gives 25.7 states/eV/cell. The calculation puts the volume at 397.6 Å³ per cell. As for the total energy: -4.594 eV/atom.

---

Record 4
Entry from Alexandria via LeMat-Bulk: crystalline BaCo2Au at its relaxed geometry (PBE).

The structure belongs to space group R-3m (No. 166, hexagonal axes); the cell edges are 4.3918, 4.3918 and 16.4673 Å and the angles 90.00°, 90.00° and 120.00°. Symmetry generates all atoms from Ba at (0.0000, 0.0000, 0.0000), Co at (0.0000, 0.0000, 0.1796) and Au at (0.0000, 0.0000, 0.5000).

The total magnetic moment comes out at 2.37 μB per formula unit. Its formation energy from the elements is 0.07 eV per atom. For the density of states at the Fermi level, the calculation gives 11.9 states/eV/cell. The calculation puts the volume at 275.1 Å³ per cell. As for the total energy: -4.782 eV/atom.

---

Record 5
Entry from Alexandria via LeMat-Bulk: crystalline Ba2CoAu2 at its relaxed geometry (PBE).

The structure belongs to space group P4/mbm (No. 127); the cell edges are 8.043, 8.043 and 4.667 Å and the angles 90.00°, 90.00° and 90.00°. Symmetry generates all atoms from Ba at (0.176, 0.324, 0.000), Co at (0.000, 0.000, 0.500) and Au at (0.131, 0.631, 0.500).

The total magnetic moment comes out at 1.77 μB per formula unit. Its formation energy from the elements is -0.11 eV per atom. For the density of states at the Fermi level, the calculation gives 8.5 states/eV/cell. The calculation puts the volume at 301.9 Å³ per cell. As for the total energy: -3.609 eV/atom.

---

Record 6
Entry from Alexandria via LeMat-Bulk: crystalline BaCo3Au at its relaxed geometry (PBE).

The structure belongs to space group Pm-3m (No. 221); the cell edges are 4.809, 4.809 and 4.809 Å and the angles 90.00°, 90.00° and 90.00°. Symmetry generates all atoms from Ba at (0.000, 0.000, 0.000), Co at (0.000, 0.000, 0.500) and Au at (0.500, 0.500, 0.500).

The total magnetic moment comes out at 3.73 μB per formula unit. Its formation energy from the elements is 2.17 eV per atom. For the density of states at the Fermi level, the calculation gives 10.2 states/eV/cell. The calculation puts the volume at 111.2 Å³ per cell. As for the total energy: -3.133 eV/atom.

---

Record 7
Entry from Alexandria via LeMat-Bulk: crystalline Ba4CoAu at its relaxed geometry (PBE).

The structure belongs to space group F-43m (No. 216); the cell edges are 9.926, 9.926 and 9.926 Å and the angles 90.00°, 90.00° and 90.00°. Symmetry generates all atoms from Ba at (0.125, 0.125, 0.125), Co at (0.250, 0.250, 0.750) and Au at (0.000, 0.000, 0.500).

The total magnetic moment comes out at 0.63 μB per formula unit. Its formation energy from the elements is 0.85 eV per atom. For the density of states at the Fermi level, the calculation gives 41.2 states/eV/cell. The calculation puts the volume at 978.1 Å³ per cell. As for the total energy: -2.158 eV/atom.

---

Record 8
Entry from Alexandria via LeMat-Bulk: crystalline BaCo2Au at its relaxed geometry (PBE).

The structure belongs to space group Pm (No. 6); the cell edges are 4.909, 4.069 and 5.074 Å and the angles 90.00°, 90.41° and 90.00°. Symmetry generates all atoms from Ba at (0.000, 0.000, 0.000), Co at (0.499, 0.000, 0.559), Co at (0.499, 0.500, 0.767) and Au at (0.501, 0.500, 0.253).

The total magnetic moment comes out at 3.02 μB per formula unit. Its formation energy from the elements is 0.27 eV per atom. For the density of states at the Fermi level, the calculation gives 4.4 states/eV/cell. The calculation puts the volume at 101.3 Å³ per cell. As for the total energy: -4.588 eV/atom.

---

Record 9
Entry from Alexandria via LeMat-Bulk: crystalline BaCoAu at its relaxed geometry (PBE).

The structure belongs to space group I4mm (No. 107); the cell edges are 3.649, 3.649 and 11.124 Å and the angles 90.00°, 90.00° and 90.00°. Symmetry generates all atoms from Ba at (0.000, 0.000, 0.000), Co at (0.000, 0.000, 0.271) and Au at (0.000, 0.000, 0.715).

The total magnetic moment comes out at 1.58 μB per formula unit. Its formation energy from the elements is 0.18 eV per atom. For the density of states at the Fermi level, the calculation gives 11.3 states/eV/cell. The calculation puts the volume at 148.1 Å³ per cell. As for the total energy: -3.922 eV/atom.

---

Record 10
Entry from Alexandria via LeMat-Bulk: crystalline BaCo2Au at its relaxed geometry (PBE).

The structure belongs to space group Immm (No. 71); the cell edges are 3.555, 5.192 and 9.171 Å and the angles 90.00°, 90.00° and 90.00°. Symmetry generates all atoms from Ba at (0.000, 0.000, 0.000), Co at (0.000, 0.500, 0.216) and Au at (0.000, 0.000, 0.500).

The total magnetic moment comes out at 3.18 μB per formula unit. Its formation energy from the elements is 0.68 eV per atom. For the density of states at the Fermi level, the calculation gives 13.5 states/eV/cell. The calculation puts the volume at 169.3 Å³ per cell. As for the total energy: -4.174 eV/atom.

---

Record 11
Entry from Alexandria via LeMat-Bulk: crystalline BaCo2Au at its relaxed geometry (PBE).

The structure belongs to space group I-4m2 (No. 119); the cell edges are 4.275, 4.275 and 8.920 Å and the angles 90.00°, 90.00° and 90.00°. Symmetry generates all atoms from Ba at (0.000, 0.000, 0.000), Co at (0.000, 0.000, 0.500), Co at (0.000, 0.500, 0.750) and Au at (0.000, 0.500, 0.250).

The total magnetic moment comes out at 2.94 μB per formula unit. Its formation energy from the elements is 0.72 eV per atom. For the density of states at the Fermi level, the calculation gives 14.0 states/eV/cell. The calculation puts the volume at 163.0 Å³ per cell. As for the total energy: -4.132 eV/atom.

---

Record 12
Entry from Alexandria via LeMat-Bulk: crystalline BaCo2Au at its relaxed geometry (PBE).

The structure belongs to space group F-43m (No. 216); the cell edges are 7.049, 7.049 and 7.049 Å and the angles 90.00°, 90.00° and 90.00°. Symmetry generates all atoms from Ba at (0.000, 0.000, 0.000), Co at (0.000, 0.000, 0.500), Co at (0.250, 0.250, 0.250) and Au at (0.250, 0.250, 0.750).

The total magnetic moment comes out at 3.83 μB per formula unit. Its formation energy from the elements is 0.74 eV per atom. For the density of states at the Fermi level, the calculation gives 20.6 states/eV/cell. The calculation puts the volume at 350.2 Å³ per cell. As for the total energy: -4.118 eV/atom.

---

What is the formula in the second record? BaCo3Au

---

Among the records above, which one has the highest formation energy from the elements? number 6

---

Among the records above, which one has the lowest formation energy from the elements? Ba2CoAu2